Entry 1:
The following is a PBE calculation of a geometry-optimized YReSi2 structure, from Alexandria.

```
YReSi2
1.0
-1.6578 2.6780 4.1389
1.6578 -2.6780 4.1389
1.6578 2.6780 -4.1389
Y Re Si
1 1 2
Direct
0.0000 0.0000 0.0000
0.5000 0.5000 0.0000
0.2807 0.7807 0.5000
0.7193 0.2193 0.5000
```

Calculated values
N(E_F) ... 1.22 states/eV/f.u.
Formation energy without anion corrections ... -0.4 eV/f.u.
Total moment ... 0.00 μB per formula unit


Entry 2:
The following is a PBE calculation of a geometry-optimized YReSi2 structure, from Alexandria.

```
YReSi2
1.0
-2.3591 2.3591 7.9772
2.3591 -2.3591 7.9772
2.3591 2.3591 -7.9772
Y Re Si
2 2 4
Direct
0.0000 0.0000 0.0000
0.7500 0.2500 0.5000
0.2500 0.7500 0.5000
0.5000 0.5000 0.0000
0.3237 0.6250 0.1987
0.3750 0.5737 0.6987
0.4263 0.1250 0.8013
0.8750 0.6763 0.3013
```

Calculated values
N(E_F) ... 2.15 states/eV/f.u.
Formation energy without anion corrections ... -0.1 eV/f.u.
Total moment ... 0.00 μB per formula unit


Entry 3:
The following is a PBE calculation of a geometry-optimized YReSi2 structure, from Alexandria.

```
YReSi2
1.0
3.3684 0.0000 0.0000
0.0000 4.2881 0.0000
0.0000 0.0000 5.1025
Y Re Si
1 1 2
Direct
0.0000 0.0000 0.0000
0.5000 0.0000 0.5000
0.5000 0.5000 0.2566
0.5000 0.5000 0.7434
```

Calculated values
N(E_F) ... 1.75 states/eV/f.u.
Formation energy without anion corrections ... -1.0 eV/f.u.
Total moment ... 0.00 μB per formula unit


Entry 4:
The following is a PBE calculation of a geometry-optimized YReSi2 structure, from Alexandria.

```
YReSi2
1.0
3.2429 0.0000 0.0000
0.0000 3.2429 0.0000
0.0000 0.0000 6.6164
Y Re Si
1 1 2
Direct
0.0000 0.0000 0.0000
0.5000 0.5000 0.3229
0.0000 0.0000 0.4746
0.5000 0.5000 0.6935
```

Calculated values
N(E_F) ... 2.11 states/eV/f.u.
Formation energy without anion corrections ... -1.0 eV/f.u.
Total moment ... 0.00 μB per formula unit


Entry 5:
The following is a PBE calculation of a geometry-optimized Y2ReSi structure, from Alexandria.

```
Y2ReSi
1.0
4.1268 0.0000 0.0000
0.0000 2.0384 5.3825
0.0000 -2.0384 5.3825
Y Re Si
2 1 1
Direct
0.0000 0.0000 0.0000
0.5000 0.2858 0.2858
0.5000 0.5787 0.5787
0.0000 0.7016 0.7016
```

Calculated values
N(E_F) ... 3.33 states/eV/f.u.
Formation energy without anion corrections ... -1.2 eV/f.u.
Total moment ... 0.00 μB per formula unit


Entry 6:
The following is a PBE calculation of a geometry-optimized YReSi2 structure, from Alexandria.

```
YReSi2
1.0
2.9258 -3.6678 0.0000
2.9258 3.6678 0.0000
-0.7715 0.0000 3.1981
Y Re Si
1 1 2
Direct
0.0000 0.0000 0.0000
0.5000 0.5000 0.0000
0.0000 0.5000 0.5000
0.5000 0.0000 0.5000
```

Calculated values
N(E_F) ... 1.72 states/eV/f.u.
Formation energy without anion corrections ... 0.3 eV/f.u.
Total moment ... 0.00 μB per formula unit


Look up the total moment of the fourth one.
0.00 μB per formula unit


Among the records above, which one has the highest formation energy without anion corrections?
number 6


Which value of formation energy without anion corrections does entry 1 give?
-0.4 eV/f.u.